No. 1
# ScHgPb, relaxed, DFT PBE
data_ScHgPb
_symmetry_space_group_name_H-M 'C m c m'
_symmetry_Int_Tables_number 63
_symmetry_space_group_name_Hall '-C 2c 2'
_cell_length_a 4.428
_cell_length_b 15.523
_cell_length_c 4.267
_cell_angle_alpha 90.00
_cell_angle_beta 90.00
_cell_angle_gamma 90.00
loop_
_atom_site_label
_atom_site_fract_x
_atom_site_fract_y
_atom_site_fract_z
Sc1 0.000 0.094 0.250
Hg1 0.000 0.256 0.750
Pb1 0.000 0.422 0.250
# V: 24.44 A^3/atom
# Energy relative to the elements: -0.243 eV per atom
# N(E_F): 0.5955 states/eV per atom
# Energy: -3.6907 eV/atom
# Energy relative to the lowest polymorph listed for this composition: 0 meV/atom

=====

No. 2
# Cd2InHgAu, relaxed, DFT PBE
data_Cd2InHgAu
_symmetry_space_group_name_H-M 'P 4/m m m'
_symmetry_Int_Tables_number 123
_symmetry_space_group_name_Hall '-P 4 2'
_cell_length_a 5.365
_cell_length_b 5.365
_cell_length_c 5.278
_cell_angle_alpha 90.00
_cell_angle_beta 90.00
_cell_angle_gamma 90.00
loop_
_atom_site_label
_atom_site_fract_x
_atom_site_fract_y
_atom_site_fract_z
Cd1 0.000 0.500 0.000
In1 0.000 0.000 0.500
Hg1 0.500 0.500 0.500
Au1 0.000 0.000 0.000
# V: 30.39 A^3/atom
# Energy relative to the elements: 0.019 eV per atom
# N(E_F): 0.2769 states/eV per atom
# Energy: -1.6105 eV/atom

=====

No. 3
# Sm2Sb4PtRh3, relaxed, DFT PBE
data_Sm2Sb4PtRh3
_symmetry_space_group_name_H-M 'P -4 m 2'
_symmetry_Int_Tables_number 115
_cell_length_a 4.568
_cell_length_b 4.568
_cell_length_c 10.432
_cell_angle_alpha 90.00
_cell_angle_beta 90.00
_cell_angle_gamma 90.00
loop_
_symmetry_equiv_pos_as_xyz
'x,y,z'
'y,-x,-z'
'-x,-y,z'
'-y,x,-z'
'-x,y,z'
'-y,-x,-z'
'x,-y,z'
'y,x,-z'
loop_
_atom_site_label
_atom_site_fract_x
_atom_site_fract_y
_atom_site_fract_z
Sm1 0.000 0.500 0.242
Sb1 0.000 0.000 0.500
Sb2 0.000 0.500 0.867
Sb3 0.500 0.500 0.500
Pt1 0.500 0.500 0.000
Rh1 0.000 0.000 0.000
Rh2 0.000 0.500 0.622
# V: 21.77 A^3/atom
# N(E_F): 0.6157 states/eV per atom
# Energy: -6.1813 eV/atom
# ΔE_f (raw): -0.78 eV/atom